A plane-wave DFT calculation with PBE was carried out for a relaxed ThSi2Tc crystal.

Computed properties:
- V (Å³/cell) = 76
- VASP energy (eV per atom) = -7.781
- crystal system = trigonal
- ΔE_f (raw) (eV/atom) = -0.623
- ρ (g/cm3) = 8.40

Structure (CIF):
```
data_ThSi2Tc
_chemical_formula_sum 'Th1 Si2 Tc1'
_symmetry_space_group_name_H-M 'P 1'
_symmetry_Int_Tables_number 1
_symmetry_space_group_name_Hall 'P 1'
_cell_length_a 5.544
_cell_length_b 5.544
_cell_length_c 5.544
_cell_angle_alpha 44.57
_cell_angle_beta 44.57
_cell_angle_gamma 44.57
loop_
_atom_site_label
_atom_site_type_symbol
_atom_site_fract_x
_atom_site_fract_y
_atom_site_fract_z
Th1 Th 0.000 0.000 0.000
Si1 Si 0.208 0.208 0.208
Si2 Si 0.792 0.792 0.792
Tc1 Tc 0.500 0.500 0.500
```


A plane-wave DFT calculation with PBE was carried out for a relaxed AlHPd3 crystal.

Computed properties:
- V (Å³/cell) = 91
- VASP energy (eV per atom) = -4.573
- crystal system = orthorhombic
- ρ (g/cm3) = 6.35

Structure (CIF):
```
data_AlHPd3
_chemical_formula_sum 'Al1 H1 Pd3'
_symmetry_space_group_name_H-M 'P 1'
_symmetry_Int_Tables_number 1
_symmetry_space_group_name_Hall 'P 1'
_cell_length_a 2.755
_cell_length_b 6.646
_cell_length_c 6.646
_cell_angle_alpha 48.25
_cell_angle_beta 90.00
_cell_angle_gamma 90.00
loop_
_atom_site_label
_atom_site_type_symbol
_atom_site_fract_x
_atom_site_fract_y
_atom_site_fract_z
Al1 Al 0.000 0.000 0.000
H1 H 0.500 0.650 0.650
Pd1 Pd 0.000 0.415 0.921
Pd2 Pd 0.000 0.921 0.415
Pd3 Pd 0.500 0.836 0.836
```


A plane-wave DFT calculation with PBE was carried out for a relaxed AsRu3I crystal.

Computed properties:
- V (Å³/cell) = 101
- VASP energy (eV per atom) = -5.693
- crystal system = cubic
- ΔE_f (raw) (eV/atom) = 1.112
- ρ (g/cm3) = 8.29

Structure (CIF):
```
data_AsRu3I
_chemical_formula_sum 'As1 Ru3 I1'
_symmetry_space_group_name_H-M 'P 1'
_symmetry_Int_Tables_number 1
_symmetry_space_group_name_Hall 'P 1'
_cell_length_a 4.660
_cell_length_b 4.660
_cell_length_c 4.660
_cell_angle_alpha 90.00
_cell_angle_beta 90.00
_cell_angle_gamma 90.00
loop_
_atom_site_label
_atom_site_type_symbol
_atom_site_fract_x
_atom_site_fract_y
_atom_site_fract_z
As1 As 0.000 0.000 0.000
Ru1 Ru 0.000 0.000 0.500
Ru2 Ru 0.000 0.500 0.000
Ru3 Ru 0.500 0.000 0.000
I1 I 0.500 0.500 0.500
```


> Which of these has the highest V?

AsRu3I


> The highest ρ belongs to which entry?

ThSi2Tc


> What is the formula in the first record?

ThSi2Tc